[1]
Computed, not measured: K3NiAg2Cl9 after structural relaxation at the PBE level of DFT.

D(E_F) = 3.6 states/eV/cell
raw formation energy = -1.064 eV per atom

a b c (Å): 7.1203 7.1203 8.6414
angles (deg): 90.00 90.00 120.00
With the nearest neighbours (Å) after each atom.
Sites, in units of the cell vectors:
K  0.3333  0.6667  0.6836  12 Cl 3.42-3.66
K  0.0000  0.0000  0.0000  12 Cl 3.55-3.56
K  0.6667  0.3333  0.3164  12 Cl 3.42-3.66
Ni  0.0000  0.0000  0.5000  6 Cl 2.32
Ag  0.3333  0.6667  0.1794  6 Cl 2.57-2.63
Ag  0.6667  0.3333  0.8206  6 Cl 2.57-2.63
Cl  0.8455  0.1545  0.6539  1 Ni 2.32
Cl  0.8455  0.6911  0.6539  1 Ni 2.32
Cl  0.3089  0.1545  0.6539  1 Ni 2.32
Cl  0.6911  0.8455  0.3461  1 Ni 2.32
Cl  0.1545  0.3089  0.3461  1 Ni 2.32
Cl  0.1545  0.8455  0.3461  1 Ni 2.32
Cl  0.5000  0.0000  0.0000  2 Ag 2.57
Cl  0.0000  0.5000  0.0000  2 Ag 2.57
Cl  0.5000  0.5000  0.0000  2 Ag 2.57


[2]
Computed, not measured: TbCuAu after structural relaxation at the PBE level of DFT.

formation enthalpy at 0 K = -525 meV/atom
D(E_F) = 1.0 states/eV/cell
polymorph energy (0 for the lowest one) = 11 kJ/mol of formula units

a b c (Å): 3.6570 3.6570 5.1569
angles (deg): 110.77 110.77 90.00
With the nearest neighbours (Å) after each atom.
Sites, in units of the cell vectors:
Au  0.9471  0.9471  0.8942  5 Tb 2.95-2.99, 5 Cu 2.96-3.03
Tb  0.6163  0.6163  0.2325  5 Cu 2.94-3.00, 5 Au 2.95-2.99
Cu  0.2866  0.2866  0.5733  5 Tb 2.94-3.00, 5 Au 2.96-3.03


[3]
Computed, not measured: Mg2Pd3 after structural relaxation at the PBE level of DFT.

formation enthalpy at 0 K = -605 meV/atom
D(E_F) = 5.2 states/eV/cell
polymorph energy (0 for the lowest one) = 0 kJ/mol of formula units

a b c (Å): 3.2388 3.2388 15.2420
angles (deg): 90.00 90.00 90.00
With the nearest neighbours (Å) after each atom.
Sites, in units of the cell vectors:
Mg  0.5000  0.5000  0.1937  9 Pd 2.68-2.95
Mg  0.5000  0.5000  0.3990  8 Pd 2.75-2.76, 1 Mg 3.08
Mg  0.5000  0.5000  0.6010  8 Pd 2.75-2.76, 1 Mg 3.08
Mg  0.5000  0.5000  0.8063  9 Pd 2.68-2.95
Pd  0.0000  0.0000  0.8974  4 Mg 2.68, 5 Pd 2.77-2.99
Pd  0.0000  0.0000  0.1026  4 Mg 2.68, 5 Pd 2.77-2.99
Pd  0.0000  0.0000  0.2990  8 Mg 2.75-2.80, 2 Pd 2.99-3.06
Pd  0.0000  0.0000  0.5000  8 Mg 2.76, 2 Pd 3.06
Pd  0.0000  0.0000  0.7010  8 Mg 2.75-2.80, 2 Pd 2.99-3.06
Pd  0.5000  0.5000  0.0000  8 Pd 2.77, 2 Mg 2.95


[4]
Computed, not measured: Sc3Al2Rh after structural relaxation at the PBE level of DFT.

formation enthalpy at 0 K = -650 meV/atom
D(E_F) = 2.1 states/eV/cell

a b c (Å): 3.3455 3.3455 9.9209
angles (deg): 90.00 90.00 90.00
With the nearest neighbours (Å) after each atom.
Sites, in units of the cell vectors:
Sc  0.0000  0.0000  0.0000  8 Al 2.93
Sc  0.0000  0.0000  0.6528  4 Rh 2.81, 4 Al 2.93, 1 Sc 3.03
Sc  0.0000  0.0000  0.3472  4 Rh 2.81, 4 Al 2.93, 1 Sc 3.03
Al  0.5000  0.5000  0.8262  8 Sc 2.93, 1 Rh 3.24
Al  0.5000  0.5000  0.1738  8 Sc 2.93, 1 Rh 3.24
Rh  0.5000  0.5000  0.5000  8 Sc 2.81


[5]
Computed, not measured: Ag2SbPb after structural relaxation at the PBE level of DFT.

D(E_F) = 3.0 states/eV/cell
raw formation energy = 0.164 eV per atom

a b c (Å): 4.8011 4.8011 9.8664
angles (deg): 75.92 75.92 90.00
With the nearest neighbours (Å) after each atom.
Sites, in units of the cell vectors:
Pb  0.0000  0.0000  0.0000  4 Ag 2.99
Pb  0.7500  0.2500  0.5000  4 Ag 2.99
Sb  0.5000  0.5000  0.0000  4 Ag 2.78
Sb  0.2500  0.7500  0.5000  4 Ag 2.78
Ag  0.5724  0.1250  0.2500  2 Sb 2.78, 2 Pb 2.99, 2 Ag 3.06
Ag  0.1776  0.6250  0.2500  2 Sb 2.78, 2 Pb 2.99, 2 Ag 3.06
Ag  0.3750  0.4276  0.7500  2 Sb 2.78, 2 Pb 2.99, 2 Ag 3.06
Ag  0.8750  0.8224  0.7500  2 Sb 2.78, 2 Pb 2.99, 2 Ag 3.06


[6]
Computed, not measured: LiZnInGe after structural relaxation at the PBE level of DFT.

formation enthalpy at 0 K = -43 meV/atom
D(E_F) = 1.1 states/eV/cell

a b c (Å): 4.7298 4.7298 4.7298
angles (deg): 60.00 60.00 60.00
With the nearest neighbours (Å) after each atom.
Sites, in units of the cell vectors:
Ge  0.5000  0.5000  0.5000  4 Li 2.90, 4 Zn 2.90
Li  0.7500  0.7500  0.7500  4 Ge 2.90, 4 In 2.90
Zn  0.2500  0.2500  0.2500  4 Ge 2.90, 4 In 2.90
In  0.0000  0.0000  0.0000  4 Zn 2.90, 4 Li 2.90


[7]
Computed, not measured: Y2ReRu after structural relaxation at the PBE level of DFT.

formation enthalpy at 0 K = -41 meV/atom
D(E_F) = 3.0 states/eV/cell
polymorph energy (0 for the lowest one) = 0 kJ/mol of formula units

a b c (Å): 4.1417 4.4533 5.6061
angles (deg): 66.58 90.00 90.00
With the nearest neighbours (Å) after each atom.
Sites, in units of the cell vectors:
Re  0.0000  0.6815  0.5113  2 Ru 2.38
Ru  0.5000  0.5689  0.7380  2 Re 2.38
Y  0.0000  0.9792  0.9169  3 Re 3.05-3.06, 4 Ru 3.18
Y  0.5000  0.2704  0.3338  3 Ru 3.04-3.06, 4 Re 3.17-3.18


[8]
Computed, not measured: CuMoPd2 after structural relaxation at the PBE level of DFT.

formation enthalpy at 0 K = 562 meV/atom
D(E_F) = 11.5 states/eV/cell
polymorph energy (0 for the lowest one) = 251 kJ/mol of formula units

a b c (Å): 6.9194 6.9194 5.5791
angles (deg): 51.68 51.68 90.00
With the nearest neighbours (Å) after each atom.
Sites, in units of the cell vectors:
Mo  0.0000  0.0000  0.0000  4 Pd 2.56, 2 Cu 2.68
Mo  0.7500  0.2500  0.5000  4 Pd 2.56, 2 Cu 2.68
Cu  0.5000  0.5000  0.0000  4 Pd 2.52, 2 Mo 2.68
Cu  0.2500  0.7500  0.5000  4 Pd 2.52, 2 Mo 2.68
Pd  0.6205  0.1250  0.2500  2 Cu 2.52, 2 Mo 2.56, 2 Pd 2.68
Pd  0.1295  0.6250  0.2500  2 Cu 2.52, 2 Mo 2.56, 2 Pd 2.68
Pd  0.3750  0.3795  0.7500  2 Cu 2.52, 2 Mo 2.56, 2 Pd 2.68
Pd  0.8750  0.8705  0.7500  2 Cu 2.52, 2 Mo 2.56, 2 Pd 2.68


[9]
Computed, not measured: KScTc after structural relaxation at the PBE level of DFT.

formation enthalpy at 0 K = 2039 meV/atom
D(E_F) = 4.5 states/eV/cell
polymorph energy (0 for the lowest one) = 405 kJ/mol of formula units

a b c (Å): 4.8961 4.8961 4.8961
angles (deg): 60.00 60.00 60.00
With the nearest neighbours (Å) after each atom.
Sites, in units of the cell vectors:
K  0.7500  0.7500  0.7500  4 Sc 3.00, 4 Tc 3.00
Sc  0.0000  0.0000  0.0000  4 K 3.00
Tc  0.5000  0.5000  0.5000  4 K 3.00


[10]
Computed, not measured: Mn2GaBSe after structural relaxation at the PBE level of DFT.

D(E_F) = 5.4 states/eV/cell
raw formation energy = -0.129 eV per atom
polymorph energy (0 for the lowest one) = 3 kJ/mol of formula units

a b c (Å): 8.2282 3.1585 5.4436
angles (deg): 90.00 102.71 90.00
With the nearest neighbours (Å) after each atom.
Sites, in units of the cell vectors:
B  0.7565  0.0000  0.5164  6 Mn 2.06-2.13
B  0.7565  0.5000  0.0164  6 Mn 2.06-2.13
Mn  0.6196  0.0000  0.8048  3 B 2.12-2.13
Mn  0.6196  0.5000  0.3048  3 B 2.12-2.13
Mn  0.8770  0.0000  0.2230  3 B 2.06
Mn  0.8770  0.5000  0.7230  3 B 2.06
Ga  0.0997  0.0000  0.9629  3 Mn 2.55, 1 Se 2.57
Ga  0.0997  0.5000  0.4629  3 Mn 2.55, 1 Se 2.57
Se  0.4196  0.0000  0.0719  3 Mn 2.42-2.43, 1 Ga 2.57
Se  0.4196  0.5000  0.5719  3 Mn 2.42-2.43, 1 Ga 2.57


[11]
Computed, not measured: Tb3Mg4Pd4 after structural relaxation at the PBE level of DFT.

formation enthalpy at 0 K = -651 meV/atom
D(E_F) = 6.8 states/eV/cell

a b c (Å): 3.9799 8.0624 8.6190
angles (deg): 117.89 103.35 90.00
With the nearest neighbours (Å) after each atom.
Sites, in units of the cell vectors:
Tb  0.1160  0.1160  0.2321  6 Pd 2.98-3.04, 4 Mg 3.29
Tb  0.8840  0.8840  0.7679  6 Pd 2.98-3.04, 4 Mg 3.29
Tb  0.0000  0.5000  0.0000  6 Pd 3.18-3.43
Mg  0.3275  0.1357  0.6551  4 Pd 2.67-2.85
Mg  0.6725  0.4807  0.3449  4 Pd 2.67-2.85
Mg  0.6725  0.8643  0.3449  4 Pd 2.67-2.85
Mg  0.3275  0.5193  0.6551  4 Pd 2.67-2.85
Pd  0.2330  0.7330  0.4661  6 Mg 2.67-2.85, 2 Tb 2.98
Pd  0.7670  0.2670  0.5339  6 Mg 2.67-2.85, 2 Tb 2.98
Pd  0.5000  0.8080  0.0000  2 Mg 2.70
Pd  0.5000  0.1920  0.0000  2 Mg 2.70


[12]
Computed, not measured: HgGeN2F after structural relaxation at the PBE level of DFT.

D(E_F) = 2.7 states/eV/cell
raw formation energy = 1.349 eV per atom
polymorph energy (0 for the lowest one) = 426 kJ/mol of formula units

a b c (Å): 4.1820 4.1820 4.6637
angles (deg): 90.00 90.00 90.00
With the nearest neighbours (Å) after each atom.
Sites, in units of the cell vectors:
Ge  0.5000  0.5000  0.5000  4 F 2.96, 8 N 3.13
N  0.0000  0.5000  0.0000  2 Hg 2.09
N  0.5000  0.0000  0.0000  2 Hg 2.09
Hg  0.0000  0.0000  0.0000  4 N 2.09, 2 F 2.33
F  0.0000  0.0000  0.5000  2 Hg 2.33


| no. | DFT total energy (eV/atom) | total magnetic moment (μB/cell) |
| --- | --- | --- |
| 1 | -3.157 | 0.04 |
| 2 | -4.526 | 0.00 |
| 3 | -4.359 | 0.00 |
| 4 | -6.289 | 0.00 |
| 5 | -3.220 | 0.00 |
| 6 | -2.679 | 0.00 |
| 7 | -8.704 | 0.00 |
| 8 | -5.766 | 0.00 |
| 9 | -3.892 | 2.15 |
| 10 | -6.435 | 7.68 |
| 11 | -4.382 | 0.00 |
| 12 | -3.339 | 1.80 |